No. 1
{"formula": "CdAgOs2", "functional": "SCAN", "state": "single point on PBEsol structure", "ef_ev_per_atom": 0.28, "dos_at_fermi_per_ev_cell": 2.0, "cell": [[2.8140, 0.0000, 0.0000], [0.0000, 2.8140, 0.0000], [0.0000, 0.0000, 8.0099]], "species": ["Ag", "Cd", "Os", "Os"], "fractional_positions": [[0.0000, 0.0000, 0.4879], [0.5000, 0.5000, 0.7587], [0.0000, 0.0000, 0.0263], [0.5000, 0.5000, 0.2271]]}

No. 2
{"formula": "BaScTeI2", "functional": "SCAN", "state": "single point on PBEsol structure", "raw_formation_energy_ev_per_fu": -6.674, "dos_at_fermi_per_ev_cell": 2.5, "cell": [[-4.0982, 3.3637, 1.7828], [-0.7667, -3.2951, 4.4545], [3.7788, 3.0597, 2.9136]], "species": ["I", "I", "Sc", "Te", "Ba"], "fractional_positions": [[0.0000, 0.5000, 0.0000], [0.5000, 0.0000, 0.0000], [0.0000, 0.0000, 0.0000], [0.0000, 0.0000, 0.5000], [0.5000, 0.5000, 0.5000]]}

| no. | E (eV/atom) |
| --- | --- |
| 1 | -51.1052 |
| 2 | -34.2391 |